# 1
This record from Alexandria describes Tm3ScAg4 after structural relaxation. The functional is PBE-GGA.

For the formation enthalpy at 0 K, the calculation gives -30.5 kJ per mole of atoms. As for the crystal system: orthorhombic. The density of states at the Fermi level comes out at 4.2 states/eV/cell.

The space group is Pmmm (No. 47) and the conventional cell measures 3.5192, 5.0486 and 10.0806 Å, with angles of 90.00, 90.00 and 90.00 degrees. Symmetry generates all atoms from Tm at (0.0000, 0.0000, 0.0000), Tm at (0.0000, 0.5000, 0.2529), Sc at (0.0000, 0.0000, 0.5000), Ag at (0.5000, 0.0000, 0.2592), Ag at (0.5000, 0.5000, 0.0000) and Ag at (0.5000, 0.5000, 0.5000).

***

# 2
This record from Alexandria describes KRbTl2Au after structural relaxation. The functional is PBE-GGA.

For the formation enthalpy at 0 K, the calculation gives -1.7 kJ per mole of atoms. As for the crystal system: tetragonal. The density of states at the Fermi level comes out at 2.7 states/eV/cell. The offset from the most stable computed form comes out at 91.4 meV per atom.

The space group is P4/mmm (No. 123) and the conventional cell measures 5.7277, 5.7277 and 6.3902 Å, with angles of 90.00, 90.00 and 90.00 degrees. Symmetry generates all atoms from K at (0.0000, 0.0000, 0.0000), Rb at (0.5000, 0.5000, 0.0000), Tl at (0.0000, 0.5000, 0.5000) and Au at (0.5000, 0.5000, 0.5000).

***

# 3
This record from Alexandria describes RbAg2Au2 after structural relaxation. The functional is PBE-GGA.

For the formation enthalpy at 0 K, the calculation gives -3.9 kJ per mole of atoms. As for the crystal system: tetragonal. The density of states at the Fermi level comes out at 4.1 states/eV/cell. The offset from the most stable computed form comes out at 7.6 meV per atom.

The space group is I4/mmm (No. 139) and the conventional cell measures 4.4410, 4.4410 and 12.6687 Å, with angles of 90.00, 90.00 and 90.00 degrees. Symmetry generates all atoms from Rb at (0.0000, 0.0000, 0.0000), Ag at (0.0000, 0.5000, 0.2500) and Au at (0.0000, 0.0000, 0.3918).

***

# 4
This record from Alexandria describes Sm2Dy3Ho6Tl after structural relaxation. The functional is PBE-GGA.

For the formation enthalpy at 0 K, the calculation gives -2.3 kJ per mole of atoms. As for the crystal system: monoclinic. The density of states at the Fermi level comes out at 31.3 states/eV/cell.

The space group is C2/m (No. 12) and the conventional cell measures 6.0770, 10.5333 and 11.6777 Å, with angles of 90.00, 100.05 and 90.00 degrees. Symmetry generates all atoms from Sm at (0.0000, 0.1662, 0.0000), Dy at (0.0000, 0.0000, 0.5000), Dy at (0.0000, 0.3332, 0.5000), Ho at (0.2455, 0.5000, 0.7494), Ho at (0.2471, 0.3357, 0.2494) and Tl at (0.0000, 0.5000, 0.0000).

***

Number 1: total moment 0.000 μB per formula unit. Number 2: total moment 0.000 μB per formula unit. Number 3: total moment 0.000 μB per formula unit. Number 4: total moment 0.001 μB per formula unit.